1.
Material: Nd8ErGa6
Method: DFT, PBE-GGA
State: relaxed

Geometry as POSCAR:
```
Nd8ErGa6
1.0
4.425 2.555 6.327
-4.425 2.555 6.327
0.000 -5.110 6.327
Nd Er Ga
8 1 6
Direct
0.054 0.387 0.720
0.166 0.166 0.166
0.280 0.946 0.613
0.387 0.720 0.054
0.613 0.280 0.946
0.720 0.054 0.387
0.834 0.834 0.834
0.946 0.613 0.280
0.500 0.500 0.500
0.118 0.770 0.445
0.230 0.555 0.882
0.445 0.118 0.770
0.555 0.882 0.230
0.770 0.445 0.118
0.882 0.230 0.555
```

## Properties
Calculated volume   28.610 Å³ per atom
SG   R-3
Calculated formation energy   -0.36 eV/atom
N(E_F)   1.20 states/eV/atom


2.
Material: CsBa3Rh
Method: DFT, PBE-GGA
State: relaxed

Geometry as POSCAR:
```
CsBa3Rh
1.0
6.305 0.000 0.000
0.000 6.305 0.000
0.000 0.000 6.305
Cs Ba Rh
1 3 1
Direct
0.000 0.000 0.000
0.000 0.000 0.500
0.000 0.500 0.000
0.500 0.000 0.000
0.500 0.500 0.500
```

## Properties
Calculated volume   50.134 Å³ per atom
SG   Pm-3m
Excess energy over the best structure of this formula in the dataset   1325.6 meV per atom
Calculated formation energy   1.29 eV/atom
N(E_F)   2.44 states/eV/atom


3.
Material: Ba2Sr2Ni
Method: DFT, PBE-GGA
State: relaxed

Geometry as POSCAR:
```
Ba2Sr2Ni
1.0
7.970 0.000 0.000
0.000 7.970 0.000
0.000 0.000 7.014
Ba Sr Ni
4 4 2
Direct
0.181 0.319 0.000
0.319 0.819 0.000
0.681 0.181 0.000
0.819 0.681 0.000
0.174 0.674 0.500
0.326 0.174 0.500
0.674 0.826 0.500
0.826 0.326 0.500
0.000 0.000 0.500
0.500 0.500 0.500
```

## Properties
Calculated volume   44.550 Å³ per atom
SG   P4/mbm
Excess energy over the best structure of this formula in the dataset   124.2 meV per atom
Calculated formation energy   0.24 eV/atom
N(E_F)   0.35 states/eV/atom